{
  "formula": "HfGaFePb2",
  "functional": "GGA-PBE",
  "state": "relaxed",
  "lattice_angstrom": [[5.6034, 0.0000, 0.0000], [0.0000, 5.6034, 0.0000], [0.0000, 0.0000, 5.2029]],
  "species": ["Hf", "Ga", "Fe", "Pb", "Pb"],
  "frac_coords": [[0.0000, 0.0000, 0.0000], [0.0000, 0.0000, 0.5000], [0.5000, 0.5000, 0.5000], [0.0000, 0.5000, 0.0000], [0.5000, 0.0000, 0.0000]],
  "formation_enthalpy_0k_ev_per_atom": 1.08,
  "total_energy_ev_per_cell": -23.5
}


{
  "formula": "HfGaFePd",
  "functional": "GGA-PBE",
  "state": "relaxed",
  "lattice_angstrom": [[0.0000, 3.1223, 3.1223], [3.1223, 0.0000, 3.1223], [3.1223, 3.1223, 0.0000]],
  "species": ["Hf", "Ga", "Fe", "Pd"],
  "frac_coords": [[0.0000, 0.0000, 0.0000], [0.5000, 0.5000, 0.5000], [0.7500, 0.7500, 0.7500], [0.2500, 0.2500, 0.2500]],
  "formation_enthalpy_0k_ev_per_atom": -0.44,
  "total_energy_ev_per_cell": -28.4
}


{
  "formula": "HfGa2FeRh",
  "functional": "GGA-PBE",
  "state": "relaxed",
  "lattice_angstrom": [[4.5711, 0.0000, 0.0000], [0.0000, 4.5711, 0.0000], [0.0000, 0.0000, 4.7073]],
  "species": ["Hf", "Ga", "Ga", "Fe", "Rh"],
  "frac_coords": [[0.0000, 0.0000, 0.0000], [0.0000, 0.5000, 0.5000], [0.5000, 0.0000, 0.5000], [0.5000, 0.5000, 0.0000], [0.5000, 0.5000, 0.5000]],
  "formation_enthalpy_0k_ev_per_atom": 0.38,
  "total_energy_ev_per_cell": -29.9
}


| no. | total magnetization (μB/cell) |
| --- | --- |
| 1 | 3.98 |
| 2 | 0.97 |
| 3 | 2.98 |